Compound: Zr3Ga3Tc
Source: Alexandria via LeMat-Bulk
Functional: PBE-GGA
Structure: optimized geometry

Computed properties:
As for the calculated formation energy: -0.50 eV per atom. For the final energy, the calculation gives -97.212 eV per cell. As for the total moment: 0.00 μB/cell. The volume is 263 Å³/cell. As for the crystal system: monoclinic.

Lattice parameters (Å, degrees): 5.812 5.812 14.028 108.45 108.45 35.99
Atoms (fractional coordinates):
Zr 0.018 0.018 0.374
Zr 0.126 0.126 0.922
Zr 0.250 0.250 0.240
Zr 0.750 0.750 0.760
Zr 0.874 0.874 0.078
Zr 0.982 0.982 0.626
Ga 0.383 0.383 0.458
Ga 0.390 0.390 0.925
Ga 0.473 0.473 0.775
Ga 0.527 0.527 0.225
Ga 0.610 0.610 0.075
Ga 0.617 0.617 0.542
Tc 0.279 0.279 0.601
Tc 0.721 0.721 0.399